1.
A plane-wave DFT calculation with GGA-PBEsol was carried out for an optimized crystal structure of SrNiO2.

a b c (Å): 3.8774 3.8774 6.0279
angles (deg): 71.24 71.24 60.00
Last column: nearest neighbours and their distance in Å.
Fractional positions:
1 O 0.1007 0.1007 0.6978  1 Ni 1.69
2 O 0.8993 0.8993 0.3022  1 Ni 1.69
3 Ni 0.0000 0.0000 0.0000  2 O 1.69
4 Sr 0.5000 0.5000 0.5000  6 O 2.50

Total magnetization ... 2.0 Bohr magnetons per cell
E ... -6.26 eV per atom
Formation energy (no corrections) ... -1.6400 eV/atom
D(E_F) ... 0.09 states/eV/atom

---

2.
A plane-wave DFT calculation with GGA-PBEsol was carried out for an optimized crystal structure of SrNiO2.

a b c (Å): 3.1879 3.1879 6.5776
angles (deg): 75.98 75.98 60.00
Last column: nearest neighbours and their distance in Å.
Fractional positions:
1 Ni 0.5000 0.5000 0.5000  6 O 2.03
2 Sr 0.0000 0.0000 0.0000  2 O 2.30
3 O 0.1215 0.1215 0.6355  3 Ni 2.03
4 O 0.8785 0.8785 0.3644  3 Ni 2.03

Total magnetization ... 1.6 Bohr magnetons per cell
E ... -5.32 eV per atom
Formation energy (no corrections) ... -0.7002 eV/atom
D(E_F) ... 0.66 states/eV/atom

---

3.
A plane-wave DFT calculation with GGA-PBEsol was carried out for an optimized crystal structure of SrNiO2.

a b c (Å): 4.0572 4.0572 4.0572
angles (deg): 60.00 60.00 60.00
Last column: nearest neighbours and their distance in Å.
Fractional positions:
1 Ni 0.0000 0.0000 0.0000  8 O 2.48
2 O 0.2500 0.2500 0.2500  4 Ni 2.48, 4 Sr 2.48
3 Sr 0.5000 0.5000 0.5000  8 O 2.48
4 O 0.7500 0.7500 0.7500  4 Sr 2.48, 4 Ni 2.48

Total magnetization ... 2.0 Bohr magnetons per cell
E ... -5.67 eV per atom
Formation energy (no corrections) ... -1.0454 eV/atom
D(E_F) ... 0.48 states/eV/atom

---

4.
A plane-wave DFT calculation with GGA-PBEsol was carried out for an optimized crystal structure of SrNiO3.

a b c (Å): 3.7806 3.7806 3.7806
angles (deg): 90.00 90.00 90.00
Last column: nearest neighbours and their distance in Å.
Fractional positions:
1 O 0.5000 0.0000 0.5000  2 Ni 1.89
2 O 0.5000 0.5000 0.0000  2 Ni 1.89
3 Sr 0.0000 0.0000 0.0000  12 O 2.67
4 Ni 0.5000 0.5000 0.5000  6 O 1.89
5 O 0.0000 0.5000 0.5000  2 Ni 1.89

Total magnetization ... 1.3 Bohr magnetons per cell
E ... -6.30 eV per atom
Formation energy (no corrections) ... -1.5551 eV/atom
D(E_F) ... 1.16 states/eV/atom

---

5.
A plane-wave DFT calculation with GGA-PBEsol was carried out for an optimized crystal structure of SrNiO3.

a b c (Å): 5.3599 5.3062 7.6009
angles (deg): 90.00 90.00 90.00
Last column: nearest neighbours and their distance in Å.
Fractional positions:
1 O 0.7258 0.2748 0.5203  2 Ni 1.90
2 O 0.5397 0.9941 0.2500  2 Ni 1.91
3 Sr 0.0018 0.9842 0.2500  9 O 2.48-2.71
4 O 0.2258 0.2252 0.4797  2 Ni 1.90
5 O 0.7742 0.7748 0.9797  2 Ni 1.90
6 Sr 0.5018 0.5158 0.7500  9 O 2.48-2.71
7 O 0.4603 0.0059 0.7500  2 Ni 1.91
8 Sr 0.4982 0.4842 0.2500  9 O 2.48-2.71
9 O 0.7742 0.7748 0.5203  2 Ni 1.90
10 Ni 0.0000 0.5000 0.0000  6 O 1.90-1.91
11 Ni 0.5000 0.0000 0.0000  6 O 1.90-1.91
12 Ni 0.5000 0.0000 0.5000  6 O 1.90-1.91
13 O 0.9603 0.4941 0.2500  2 Ni 1.91
14 O 0.2742 0.7252 0.4797  2 Ni 1.90
15 Sr 0.9982 0.0158 0.7500  9 O 2.48-2.71
16 Ni 0.0000 0.5000 0.5000  6 O 1.90-1.91
17 O 0.2258 0.2252 0.0203  2 Ni 1.90
18 O 0.2742 0.7252 0.0203  2 Ni 1.90
19 O 0.0397 0.5059 0.7500  2 Ni 1.91
20 O 0.7258 0.2748 0.9797  2 Ni 1.90

Total magnetization ... 3.5 Bohr magnetons per cell
E ... -6.31 eV per atom
Formation energy (no corrections) ... -1.5606 eV/atom
D(E_F) ... 1.14 states/eV/atom

---

6.
A plane-wave DFT calculation with GGA-PBEsol was carried out for an optimized crystal structure of SrTa2NiO.

a b c (Å): 4.4428 4.4428 5.9245
angles (deg): 90.00 90.00 90.00
Last column: nearest neighbours and their distance in Å.
Fractional positions:
1 Ta 0.0000 0.5000 0.0000  2 Ni 2.22
2 Ni 0.0000 0.0000 0.0000  4 Ta 2.22
3 O 0.5000 0.5000 0.5000  4 Sr 3.14
4 Sr 0.0000 0.0000 0.5000  2 Ni 2.96, 4 O 3.14
5 Ta 0.5000 0.0000 0.0000  2 Ni 2.22

Total magnetization ... 1.2 Bohr magnetons per cell
E ... -6.65 eV per atom
Formation energy (no corrections) ... 1.0196 eV/atom
D(E_F) ... 0.95 states/eV/atom

---

7.
A plane-wave DFT calculation with GGA-PBEsol was carried out for an optimized crystal structure of Sr12Tm3Ni5O24.

a b c (Å): 6.6082 6.6082 13.3468
angles (deg): 92.38 92.38 92.85
Last column: nearest neighbours and their distance in Å.
Fractional positions:
1 Sr 0.6227 0.7465 0.3128  8 O 2.43-2.68
2 Tm 0.7472 0.2489 0.7510  6 O 2.17-2.22
3 Ni 0.5032 0.9972 0.6258  6 O 1.96-2.14
4 Ni 0.9987 0.5049 0.8767  6 O 1.89-1.99
5 O 0.4184 0.7147 0.6492  1 Ni 1.96
6 O 0.5479 0.9028 0.4744  1 Ni 2.13, 1 Tm 2.19
7 Sr 0.7566 0.6194 0.5661  8 O 2.51-2.69
8 O 0.7187 0.4173 0.8969  1 Ni 1.94
9 Tm 0.2564 0.7436 0.5000  6 O 2.19-2.24
10 O 0.2746 0.5896 0.8603  1 Ni 1.90
11 Sr 0.2535 0.3773 0.6872  8 O 2.43-2.68
12 Sr 0.3757 0.2545 0.9384  8 O 2.45-2.66
13 O 0.5321 0.9202 0.9884  1 Ni 1.89
14 Sr 0.6098 0.7550 0.8204  8 O 2.51-2.73
15 Ni 0.2463 0.7537 0.0000  6 O 2.14-2.16
16 O 0.4589 0.0947 0.7777  1 Ni 2.14, 1 Tm 2.17
17 O 0.2164 0.0385 0.0816  2 Ni 1.93-2.16
18 O 0.9053 0.5411 0.2223  1 Ni 2.14, 1 Tm 2.17
19 O 0.9144 0.5466 0.7387  1 Ni 1.94
20 O 0.4534 0.0856 0.2613  1 Ni 1.94
21 O 0.0430 0.2138 0.3294  1 Ni 1.97, 1 Tm 2.20
22 Sr 0.8833 0.1167 0.5000  8 O 2.53-2.68
23 Sr 0.1250 0.8820 0.7565  8 O 2.51-2.71
24 O 0.7862 0.9570 0.6706  1 Ni 1.97, 1 Tm 2.20
25 O 0.0798 0.4679 0.0116  1 Ni 1.89
26 O 0.2853 0.5816 0.3508  1 Ni 1.96
27 O 0.9640 0.7797 0.4178  1 Ni 1.97
28 O 0.2203 0.0360 0.5822  1 Ni 1.97
29 Sr 0.7455 0.6243 0.0616  8 O 2.45-2.66
30 Sr 0.1180 0.8750 0.2435  8 O 2.51-2.71
31 Ni 0.0028 0.4968 0.3742  6 O 1.96-2.14
32 O 0.7172 0.4094 0.3962  1 Ni 1.98, 1 Tm 2.21
33 Sr 0.3806 0.2434 0.4339  8 O 2.51-2.69
34 Ni 0.4951 0.0013 0.1233  6 O 1.89-1.99
35 O 0.7817 0.9605 0.1664  1 Ni 1.99, 1 Tm 2.21
36 Tm 0.7511 0.2528 0.2490  6 O 2.17-2.22
37 O 0.5827 0.2813 0.1031  1 Ni 1.94
38 Sr 0.8843 0.1157 0.0000  8 O 2.49-2.72
39 O 0.9615 0.7836 0.9184  2 Ni 1.93-2.16
40 O 0.0395 0.2183 0.8336  1 Ni 1.99, 1 Tm 2.21
41 O 0.0972 0.4521 0.5256  1 Ni 2.13, 1 Tm 2.19
42 O 0.4104 0.7254 0.1397  1 Ni 1.90
43 Sr 0.2450 0.3902 0.1796  8 O 2.51-2.73
44 O 0.5906 0.2828 0.6038  1 Ni 1.98, 1 Tm 2.21

Total magnetization ... 5.0 Bohr magnetons per cell
E ... -6.82 eV per atom
Formation energy (no corrections) ... -2.4241 eV/atom
D(E_F) ... 0.21 states/eV/atom

---

8.
A plane-wave DFT calculation with GGA-PBEsol was carried out for an optimized crystal structure of Sr2V11NiO22.

a b c (Å): 5.7110 5.7110 13.1086
angles (deg): 90.00 90.00 120.00
Last column: nearest neighbours and their distance in Å.
Fractional positions:
1 O 0.1510 0.8490 0.0000  3 V 1.80-2.01
2 V 0.4957 0.9914 0.7513  6 O 1.93-2.01
3 O 0.3333 0.6667 0.8435  4 V 2.01-2.05
4 O 0.1702 0.3404 0.6696  3 V 1.93-1.94
5 Sr 0.6667 0.3333 0.0000  12 O 2.72-2.86
6 O 0.8284 0.1716 0.1675  3 V 1.90-1.96
7 Sr 0.3333 0.6667 0.5000  12 O 2.75-2.86
8 V 0.0000 0.0000 0.1024  6 O 1.90-2.01
9 V 0.3333 0.6667 0.0000  3 O 1.80
10 O 0.3432 0.1716 0.8326  3 V 1.90-1.96
11 O 0.1702 0.3404 0.3304  3 V 1.93-1.94
12 O 0.8526 0.1474 0.5000  1 Ni 1.84, 2 V 1.93
13 V 0.0000 0.0000 0.8976  6 O 1.90-2.01
14 O 0.6596 0.8298 0.3304  3 V 1.93-1.94
15 O 0.6667 0.3333 0.3257  3 V 1.97
16 V 0.4957 0.5043 0.2487  6 O 1.93-2.01
17 O 0.6596 0.8298 0.6696  3 V 1.93-1.94
18 O 0.1509 0.3019 0.0000  3 V 1.80-2.01
19 V 0.0000 0.0000 0.5962  6 O 1.93-1.94
20 O 0.6667 0.3333 0.6743  3 V 1.97
21 O 0.6981 0.8491 0.0000  3 V 1.80-2.01
22 V 0.0000 0.0000 0.4038  6 O 1.93-1.94
23 O 0.3333 0.6667 0.1565  4 V 2.01-2.05
24 O 0.1702 0.8298 0.3304  3 V 1.93-1.94
25 O 0.3432 0.1716 0.1674  3 V 1.90-1.96
26 V 0.0086 0.5043 0.2487  6 O 1.93-2.01
27 Ni 0.6666 0.3334 0.5000  3 O 1.84
28 O 0.8284 0.6568 0.1674  3 V 1.90-1.96
29 O 0.8284 0.6568 0.8326  3 V 1.90-1.96
30 O 0.8527 0.7054 0.5000  1 Ni 1.84, 2 V 1.93
31 V 0.4957 0.9914 0.2487  6 O 1.93-2.01
32 V 0.0086 0.5043 0.7513  6 O 1.93-2.01
33 O 0.1702 0.8298 0.6696  3 V 1.93-1.94
34 O 0.2946 0.1473 0.5000  1 Ni 1.84, 2 V 1.93
35 V 0.4957 0.5043 0.7513  6 O 1.93-2.01
36 O 0.8284 0.1716 0.8325  3 V 1.90-1.96

Total magnetization ... 14.6 Bohr magnetons per cell
E ... -8.82 eV per atom
Formation energy (no corrections) ... -2.3927 eV/atom
D(E_F) ... 0.54 states/eV/atom

---

Repeat the first record exactly.
A plane-wave DFT calculation with GGA-PBEsol was carried out for an optimized crystal structure of SrNiO2.

a b c (Å): 3.8774 3.8774 6.0279
angles (deg): 71.24 71.24 60.00
Last column: nearest neighbours and their distance in Å.
Fractional positions:
1 O 0.1007 0.1007 0.6978  1 Ni 1.69
2 O 0.8993 0.8993 0.3022  1 Ni 1.69
3 Ni 0.0000 0.0000 0.0000  2 O 1.69
4 Sr 0.5000 0.5000 0.5000  6 O 2.50

Total magnetization ... 2.0 Bohr magnetons per cell
E ... -6.26 eV per atom
Formation energy (no corrections) ... -1.6400 eV/atom
D(E_F) ... 0.09 states/eV/atom

---

Which formula does entry 5 have?
SrNiO3

---

Which formula does entry 3 have?
SrNiO2

---

Repeat the seventh record exactly.
A plane-wave DFT calculation with GGA-PBEsol was carried out for an optimized crystal structure of Sr12Tm3Ni5O24.

a b c (Å): 6.6082 6.6082 13.3468
angles (deg): 92.38 92.38 92.85
Last column: nearest neighbours and their distance in Å.
Fractional positions:
1 Sr 0.6227 0.7465 0.3128  8 O 2.43-2.68
2 Tm 0.7472 0.2489 0.7510  6 O 2.17-2.22
3 Ni 0.5032 0.9972 0.6258  6 O 1.96-2.14
4 Ni 0.9987 0.5049 0.8767  6 O 1.89-1.99
5 O 0.4184 0.7147 0.6492  1 Ni 1.96
6 O 0.5479 0.9028 0.4744  1 Ni 2.13, 1 Tm 2.19
7 Sr 0.7566 0.6194 0.5661  8 O 2.51-2.69
8 O 0.7187 0.4173 0.8969  1 Ni 1.94
9 Tm 0.2564 0.7436 0.5000  6 O 2.19-2.24
10 O 0.2746 0.5896 0.8603  1 Ni 1.90
11 Sr 0.2535 0.3773 0.6872  8 O 2.43-2.68
12 Sr 0.3757 0.2545 0.9384  8 O 2.45-2.66
13 O 0.5321 0.9202 0.9884  1 Ni 1.89
14 Sr 0.6098 0.7550 0.8204  8 O 2.51-2.73
15 Ni 0.2463 0.7537 0.0000  6 O 2.14-2.16
16 O 0.4589 0.0947 0.7777  1 Ni 2.14, 1 Tm 2.17
17 O 0.2164 0.0385 0.0816  2 Ni 1.93-2.16
18 O 0.9053 0.5411 0.2223  1 Ni 2.14, 1 Tm 2.17
19 O 0.9144 0.5466 0.7387  1 Ni 1.94
20 O 0.4534 0.0856 0.2613  1 Ni 1.94
21 O 0.0430 0.2138 0.3294  1 Ni 1.97, 1 Tm 2.20
22 Sr 0.8833 0.1167 0.5000  8 O 2.53-2.68
23 Sr 0.1250 0.8820 0.7565  8 O 2.51-2.71
24 O 0.7862 0.9570 0.6706  1 Ni 1.97, 1 Tm 2.20
25 O 0.0798 0.4679 0.0116  1 Ni 1.89
26 O 0.2853 0.5816 0.3508  1 Ni 1.96
27 O 0.9640 0.7797 0.4178  1 Ni 1.97
28 O 0.2203 0.0360 0.5822  1 Ni 1.97
29 Sr 0.7455 0.6243 0.0616  8 O 2.45-2.66
30 Sr 0.1180 0.8750 0.2435  8 O 2.51-2.71
31 Ni 0.0028 0.4968 0.3742  6 O 1.96-2.14
32 O 0.7172 0.4094 0.3962  1 Ni 1.98, 1 Tm 2.21
33 Sr 0.3806 0.2434 0.4339  8 O 2.51-2.69
34 Ni 0.4951 0.0013 0.1233  6 O 1.89-1.99
35 O 0.7817 0.9605 0.1664  1 Ni 1.99, 1 Tm 2.21
36 Tm 0.7511 0.2528 0.2490  6 O 2.17-2.22
37 O 0.5827 0.2813 0.1031  1 Ni 1.94
38 Sr 0.8843 0.1157 0.0000  8 O 2.49-2.72
39 O 0.9615 0.7836 0.9184  2 Ni 1.93-2.16
40 O 0.0395 0.2183 0.8336  1 Ni 1.99, 1 Tm 2.21
41 O 0.0972 0.4521 0.5256  1 Ni 2.13, 1 Tm 2.19
42 O 0.4104 0.7254 0.1397  1 Ni 1.90
43 Sr 0.2450 0.3902 0.1796  8 O 2.51-2.73
44 O 0.5906 0.2828 0.6038  1 Ni 1.98, 1 Tm 2.21

Total magnetization ... 5.0 Bohr magnetons per cell
E ... -6.82 eV per atom
Formation energy (no corrections) ... -2.4241 eV/atom
D(E_F) ... 0.21 states/eV/atom